The following is a PBE calculation of PrAg2SbSe4 after structural relaxation, from the Alexandria database.

Unit cell a=8.329 b=8.329 c=8.329 alpha=121.46 beta=118.96 gamma=89.64
Atoms (fractional coordinates):
Pr: 0.000 0.000 0.000
Pr: 0.500 0.000 0.500
Ag: 0.000 0.500 0.500
Ag: 0.500 0.000 0.000
Ag: 0.500 0.500 0.000
Ag: 0.500 0.500 0.500
Sb: 0.000 0.000 0.500
Sb: 0.000 0.500 0.000
Se: 0.245 0.746 0.499
Se: 0.246 0.253 0.507
Se: 0.246 0.739 0.993
Se: 0.253 0.254 0.999
Se: 0.747 0.746 0.001
Se: 0.754 0.261 0.007
Se: 0.754 0.747 0.493
Se: 0.755 0.254 0.501

**Energy relative to the elements, uncorrected**: -0.649 eV/atom
**Calculated total energy**: -67.5 eV per cell

***

The following is a PBE calculation of NdYGa2Rh2 after structural relaxation, from the Alexandria database.

Unit cell a=4.405 b=4.405 c=7.339 alpha=90.00 beta=90.00 gamma=120.00
Atoms (fractional coordinates):
Nd: 0.000 0.000 0.000
Y: 0.000 0.000 0.500
Ga: 0.333 0.667 0.266
Ga: 0.667 0.333 0.734
Rh: 0.333 0.667 0.731
Rh: 0.667 0.333 0.269

**Calculated total energy**: -36.8 eV per cell
**DFT formation energy**: -794.7 meV/atom

***

The following is a PBE calculation of MgSe5 after structural relaxation, from the Alexandria database.

Unit cell a=5.166 b=5.166 c=9.133 alpha=90.00 beta=90.00 gamma=120.00
Atoms (fractional coordinates):
Mg: 0.000 0.000 0.000
Se: 0.000 0.500 0.500
Se: 0.333 0.667 0.000
Se: 0.500 0.000 0.500
Se: 0.500 0.500 0.500
Se: 0.667 0.333 0.000

**Energy relative to the elements, uncorrected**: 0.241 eV/atom
**Calculated total energy**: -17.6 eV per cell

***

The following is a PBE calculation of CoRu2W after structural relaxation, from the Alexandria database.

Unit cell a=6.077 b=6.077 c=6.077 alpha=90.00 beta=90.00 gamma=90.00
Atoms (fractional coordinates):
Co: 0.000 0.000 0.000
Co: 0.000 0.500 0.500
Co: 0.500 0.000 0.500
Co: 0.500 0.500 0.000
Ru: 0.000 0.000 0.500
Ru: 0.000 0.500 0.000
Ru: 0.250 0.250 0.250
Ru: 0.250 0.750 0.750
Ru: 0.500 0.000 0.000
Ru: 0.500 0.500 0.500
Ru: 0.750 0.250 0.750
Ru: 0.750 0.750 0.250
W: 0.250 0.250 0.750
W: 0.250 0.750 0.250
W: 0.750 0.250 0.250
W: 0.750 0.750 0.750

**Excess energy over the best structure of this formula in the dataset**: 158 kJ/mol of formula units
**Calculated total energy**: -148.3 eV per cell
**DFT formation energy**: 382.9 meV/atom

***

The following is a PBE calculation of YbMn4Al8 after structural relaxation, from the Alexandria database.

Unit cell a=6.717 b=6.717 c=6.717 alpha=98.51 beta=98.51 gamma=134.75
Atoms (fractional coordinates):
Yb: 0.000 0.000 0.000
Mn: 0.000 0.000 0.500
Mn: 0.000 0.500 0.000
Mn: 0.500 0.000 0.000
Mn: 0.500 0.500 0.500
Al: 0.000 0.335 0.335
Al: 0.000 0.665 0.665
Al: 0.274 0.500 0.774
Al: 0.335 0.000 0.335
Al: 0.500 0.274 0.774
Al: 0.500 0.726 0.226
Al: 0.665 0.000 0.665
Al: 0.726 0.500 0.226

**Calculated total energy**: -72.1 eV per cell
**DFT formation energy**: -301.4 meV/atom

***

The following is a PBE calculation of Fe2GeOs after structural relaxation, from the Alexandria database.

Unit cell a=5.147 b=5.147 c=10.941 alpha=90.00 beta=90.00 gamma=90.00
Atoms (fractional coordinates):
Fe: 0.241 0.250 0.125
Fe: 0.250 0.741 0.375
Fe: 0.250 0.759 0.875
Fe: 0.259 0.250 0.625
Fe: 0.741 0.750 0.625
Fe: 0.750 0.241 0.875
Fe: 0.750 0.259 0.375
Fe: 0.759 0.750 0.125
Ge: 0.000 0.000 0.500
Ge: 0.000 0.500 0.750
Ge: 0.500 0.000 0.250
Ge: 0.500 0.500 0.000
Os: 0.000 0.000 0.000
Os: 0.000 0.500 0.250
Os: 0.500 0.000 0.750
Os: 0.500 0.500 0.500

**Calculated total energy**: -114.6 eV per cell
**DFT formation energy**: 1032.3 meV/atom

***

Which of these has the highest calculated total energy? MgSe5